Here is a relaxed W4C crystal from Alexandria via LeMat-Bulk. Energies are from PBE.

**Density of states at the Fermi level**: 4.69 states/eV/f.u.
**Excess energy over the best structure of this formula in the dataset**: 85.2 kJ/mol of atoms
**Calculated formation energy**: 1146.9 meV/atom

a b c (Å): 4.636 4.636 4.636
angles (deg): 109.47 109.47 109.47
Atoms (fractional coordinates):
W1 0.000 0.000 0.500
W2 0.000 0.500 0.000
W3 0.500 0.000 0.000
W4 0.500 0.500 0.500
C1 0.000 0.000 0.000